Entry 1:
Entry from Alexandria: a crystal of YWIO2 relaxed with PBEsol (SCAN).

Formation energy (no corrections): -0.82 eV per atom

Cell: 3.9773 3.9773 5.7909 Å, 90.00 90.00 90.00°
With the nearest neighbours (Å) after each atom.
Space group P4/mmm (No. 123)
Symmetry-distinct sites (fractional):
Y 0.0000 0.0000 0.0000  4 I 2.81
W 0.5000 0.5000 0.5000  4 O 1.99
I 0.5000 0.5000 0.0000  4 Y 2.81, 2 W 2.90
O 0.0000 0.5000 0.5000  2 W 1.99



Entry 2:
Entry from Alexandria: a crystal of Li11TiSb5 relaxed with PBEsol (SCAN).

Formation energy (no corrections): -0.62 eV per atom

Cell: 15.0464 4.5119 11.2070 Å, 90.00 117.97 90.00°
With the nearest neighbours (Å) after each atom.
Space group Cm (No. 8)
Symmetry-distinct sites (fractional):
Li 0.0000 0.0000 0.0000  4 Sb 2.75-2.84, 5 Li 2.87-3.01
Li 0.0006 0.0000 0.5081  4 Sb 2.80-2.86, 3 Li 3.01-3.03
Li 0.0912 0.5000 0.4209  4 Sb 2.81-2.96, 4 Li 2.85-3.09
Li 0.0942 0.5000 0.9203  4 Sb 2.74-2.85, 4 Li 2.79-3.01
Li 0.0971 0.5000 0.1707  8 Li 2.79-2.98, 2 Sb 3.02
Li 0.1802 0.0000 0.8158  4 Sb 2.76-2.92, 4 Li 2.99-3.09
Li 0.2089 0.0000 0.3296  4 Sb 2.75-2.83, 2 Li 2.88
Li 0.2827 0.5000 0.7161  4 Sb 2.73-2.80, 1 Li 2.93
Li 0.3041 0.5000 0.9895  8 Li 2.72-2.99
Li 0.3139 0.5000 0.2381  3 Li 2.72-3.01, 4 Sb 2.81-2.88
Li 0.4019 0.0000 0.1422  3 Sb 2.71-2.73, 3 Li 2.80
Ti 0.3990 0.0000 0.6316  4 Sb 2.61-2.73
Sb 0.0072 0.0000 0.2575  10 Li 2.71-3.02
Sb 0.0840 0.5000 0.6699  1 Ti 2.61, 7 Li 2.74-2.84
Sb 0.2027 0.0000 0.0769  8 Li 2.73-2.88
Sb 0.3068 0.5000 0.4894  6 Li 2.73-2.96, 2 Ti 2.73
Sb 0.3885 0.0000 0.8626  1 Ti 2.67, 6 Li 2.80-2.92



Entry 3:
Entry from Alexandria: a crystal of BaCd3 relaxed with PBEsol (SCAN).

Energy of formation from the pure elements: -282 meV/atom

Cell: 7.3720 7.3720 4.9896 Å, 90.00 90.00 120.00°
With the nearest neighbours (Å) after each atom.
Space group P6_3/mmc (No. 194)
Symmetry-distinct sites (fractional):
Ba 0.3333 0.6667 0.2500  12 Cd 3.52-3.70
Cd 0.1392 0.2783 0.7500  6 Cd 3.06-3.08



Entry 4:
Entry from Alexandria: a crystal of CuReSi2 relaxed with PBEsol (SCAN).

Excess energy over the best structure of this formula in the dataset: 0.0 meV/atom
Formation energy (no corrections): 0.07 eV per atom

Cell: 3.8086 3.8086 7.0175 Å, 90.00 90.00 90.00°
With the nearest neighbours (Å) after each atom.
Space group I4/mmm (No. 139)
Symmetry-distinct sites (fractional):
Cu 0.0000 0.0000 0.0000  8 Si 2.59, 4 Re 2.69
Re 0.0000 0.0000 0.5000  8 Si 2.59, 4 Cu 2.69
Si 0.0000 0.5000 0.2500  4 Re 2.59, 4 Cu 2.59, 4 Si 2.69



Entry 5:
Entry from Alexandria: a crystal of Mo2RuCl relaxed with PBEsol (SCAN).

Excess energy over the best structure of this formula in the dataset: 0.0 meV/atom
Formation energy (no corrections): 0.61 eV per atom

Cell: 4.5220 4.5220 2.7880 Å, 90.00 90.00 90.00°
With the nearest neighbours (Å) after each atom.
Space group P4/mmm (No. 123)
Symmetry-distinct sites (fractional):
Mo 0.0000 0.5000 0.0000  4 Cl 2.66, 4 Ru 2.66, 2 Mo 2.79
Ru 0.0000 0.0000 0.5000  8 Mo 2.66, 2 Ru 2.79
Cl 0.5000 0.5000 0.5000  8 Mo 2.66, 2 Cl 2.79



Entry 6:
Entry from Alexandria: a crystal of BaCa2In relaxed with PBEsol (SCAN).

Energy of formation from the pure elements: -286 meV/atom

Cell: 3.9991 6.1501 12.4098 Å, 90.00 90.00 90.00°
With the nearest neighbours (Å) after each atom.
Space group Immm (No. 71)
Symmetry-distinct sites (fractional):
Ba 0.0000 0.0000 0.0000  4 In 3.67, 4 Ca 3.99, 2 Ba 4.00
Ca 0.0000 0.5000 0.2046  2 In 3.23
In 0.0000 0.0000 0.5000  4 Ca 3.23



> What is the formula in the fifth record?

Mo2RuCl